# PBE-GGA IrBr2Cl, optimized geometry
data_IrBr2Cl
_cell_length_a 7.158
_cell_length_b 7.158
_cell_length_c 7.158
_cell_angle_alpha 153.54
_cell_angle_beta 138.02
_cell_angle_gamma 50.31
_symmetry_space_group_name_H-M 'P 1'
_symmetry_Int_Tables_number 1
loop_
_symmetry_equiv_pos_as_xyz
'x,y,z'
loop_
_atom_site_label
_atom_site_type_symbol
_atom_site_fract_x
_atom_site_fract_y
_atom_site_fract_z
_atom_site_occupancy
Ir1 Ir 0.000 0.000 0.000 1
Br1 Br 0.501 0.501 0.000 1
Br2 Br 0.852 0.352 0.500 1
Cl1 Cl 0.135 0.635 0.500 1
# - DOS at the Fermi energy (states/eV per cell) = 2.8
# - SG = Imm2 (44)
# - raw total energy (eV/atom) = -3.28
# - ΔE to the lowest computed polymorph (meV/atom) = 419
# - ΔE_f (raw) (meV per atom) = 236.2

---

# PBE-GGA SrEr2AlAu4, optimized geometry
data_SrEr2AlAu4
_cell_length_a 9.407
_cell_length_b 9.407
_cell_length_c 9.407
_cell_angle_alpha 30.44
_cell_angle_beta 30.44
_cell_angle_gamma 30.44
_symmetry_space_group_name_H-M 'P 1'
_symmetry_Int_Tables_number 1
loop_
_symmetry_equiv_pos_as_xyz
'x,y,z'
loop_
_atom_site_label
_atom_site_type_symbol
_atom_site_fract_x
_atom_site_fract_y
_atom_site_fract_z
_atom_site_occupancy
Sr1 Sr 0.000 0.000 0.000 1
Er1 Er 0.232 0.232 0.232 1
Er2 Er 0.768 0.768 0.768 1
Al1 Al 0.500 0.500 0.500 1
Au1 Au 0.123 0.123 0.123 1
Au2 Au 0.402 0.402 0.402 1
Au3 Au 0.598 0.598 0.598 1
Au4 Au 0.877 0.877 0.877 1
# - DOS at the Fermi energy (states/eV per cell) = 4.2
# - E_form (eV/atom) = -0.723
# - SG = R-3m (166)
# - raw total energy (eV/atom) = -4.18

---

# PBE-GGA BaU2O7, optimized geometry
data_BaU2O7
_cell_length_a 6.525
_cell_length_b 6.525
_cell_length_c 4.192
_cell_angle_alpha 90.00
_cell_angle_beta 90.00
_cell_angle_gamma 118.31
_symmetry_space_group_name_H-M 'P 1'
_symmetry_Int_Tables_number 1
loop_
_symmetry_equiv_pos_as_xyz
'x,y,z'
loop_
_atom_site_label
_atom_site_type_symbol
_atom_site_fract_x
_atom_site_fract_y
_atom_site_fract_z
_atom_site_occupancy
Ba1 Ba 0.000 0.000 0.000 1
U1 U 0.313 0.687 0.500 1
U2 U 0.687 0.313 0.500 1
O1 O 0.047 0.335 0.500 1
O2 O 0.302 0.698 0.000 1
O3 O 0.335 0.047 0.500 1
O4 O 0.500 0.500 0.500 1
O5 O 0.665 0.953 0.500 1
O6 O 0.698 0.302 0.000 1
O7 O 0.953 0.665 0.500 1
# - SG = Cmmm (65)
# - raw total energy (eV/atom) = -9.01
# - ΔE to the lowest computed polymorph (meV/atom) = 57
# - ΔE_f (raw) (meV per atom) = -3088.1

---

# PBE-GGA In6GaHg5, optimized geometry
data_In6GaHg5
_cell_length_a 5.792
_cell_length_b 7.913
_cell_length_c 8.348
_cell_angle_alpha 112.88
_cell_angle_beta 103.32
_cell_angle_gamma 104.09
_symmetry_space_group_name_H-M 'P 1'
_symmetry_Int_Tables_number 1
loop_
_symmetry_equiv_pos_as_xyz
'x,y,z'
loop_
_atom_site_label
_atom_site_type_symbol
_atom_site_fract_x
_atom_site_fract_y
_atom_site_fract_z
_atom_site_occupancy
In1 In 0.000 0.224 0.499 1
In2 In 0.000 0.776 0.501 1
In3 In 0.323 0.606 0.175 1
In4 In 0.348 0.068 0.175 1
In5 In 0.652 0.932 0.825 1
In6 In 0.677 0.394 0.825 1
Ga1 Ga 0.500 0.000 0.500 1
Hg1 Hg 0.158 0.656 0.812 1
Hg2 Hg 0.183 0.183 0.864 1
Hg3 Hg 0.500 0.500 0.500 1
Hg4 Hg 0.817 0.817 0.136 1
Hg5 Hg 0.842 0.344 0.188 1
# - DOS at the Fermi energy (states/eV per cell) = 2.6
# - E_form (eV/atom) = 0.012
# - SG = P-1 (2)
# - raw total energy (eV/atom) = -1.74

---

# PBE-GGA LiAcNpS4, optimized geometry
data_LiAcNpS4
_cell_length_a 8.296
_cell_length_b 8.296
_cell_length_c 6.624
_cell_angle_alpha 90.00
_cell_angle_beta 90.00
_cell_angle_gamma 138.21
_symmetry_space_group_name_H-M 'P 1'
_symmetry_Int_Tables_number 1
loop_
_symmetry_equiv_pos_as_xyz
'x,y,z'
loop_
_atom_site_label
_atom_site_type_symbol
_atom_site_fract_x
_atom_site_fract_y
_atom_site_fract_z
_atom_site_occupancy
Li1 Li 0.227 0.773 0.750 1
Li2 Li 0.773 0.227 0.250 1
Ac1 Ac 0.113 0.887 0.250 1
Ac2 Ac 0.887 0.113 0.750 1
Np1 Np 0.378 0.622 0.250 1
Np2 Np 0.622 0.378 0.750 1
S1 S 0.000 0.500 0.000 1
S2 S 0.000 0.500 0.500 1
S3 S 0.075 0.925 0.750 1
S4 S 0.444 0.556 0.750 1
S5 S 0.500 0.000 0.000 1
S6 S 0.500 0.000 0.500 1
S7 S 0.556 0.444 0.250 1
S8 S 0.925 0.075 0.250 1
# - DOS at the Fermi energy (states/eV per cell) = 14.9
# - SG = Cmcm (63)
# - raw total energy (eV/atom) = -6.48
# - ΔE_f (raw) (meV per atom) = -1412.2

---

# PBE-GGA Rb3Tl3PbI8, optimized geometry
data_Rb3Tl3PbI8
_cell_length_a 10.384
_cell_length_b 10.384
_cell_length_c 10.384
_cell_angle_alpha 58.42
_cell_angle_beta 58.42
_cell_angle_gamma 58.42
_symmetry_space_group_name_H-M 'P 1'
_symmetry_Int_Tables_number 1
loop_
_symmetry_equiv_pos_as_xyz
'x,y,z'
loop_
_atom_site_label
_atom_site_type_symbol
_atom_site_fract_x
_atom_site_fract_y
_atom_site_fract_z
_atom_site_occupancy
Rb1 Rb 0.000 0.500 0.500 1
Rb2 Rb 0.500 0.000 0.500 1
Rb3 Rb 0.500 0.500 0.000 1
Tl1 Tl 0.000 0.000 0.500 1
Tl2 Tl 0.000 0.500 0.000 1
Tl3 Tl 0.500 0.000 0.000 1
Pb1 Pb 0.500 0.500 0.500 1
I1 I 0.246 0.246 0.246 1
I2 I 0.265 0.727 0.727 1
I3 I 0.273 0.273 0.735 1
I4 I 0.273 0.735 0.273 1
I5 I 0.727 0.265 0.727 1
I6 I 0.727 0.727 0.265 1
I7 I 0.735 0.273 0.273 1
I8 I 0.754 0.754 0.754 1
# - DOS at the Fermi energy (states/eV per cell) = 0.0
# - SG = R-3m (166)
# - raw total energy (eV/atom) = -2.74
# - ΔE_f (raw) (meV per atom) = -995.5

---

# PBE-GGA Ta2SnB4, optimized geometry
data_Ta2SnB4
_cell_length_a 6.541
_cell_length_b 6.541
_cell_length_c 6.541
_cell_angle_alpha 142.13
_cell_angle_beta 142.13
_cell_angle_gamma 54.63
_symmetry_space_group_name_H-M 'P 1'
_symmetry_Int_Tables_number 1
loop_
_symmetry_equiv_pos_as_xyz
'x,y,z'
loop_
_atom_site_label
_atom_site_type_symbol
_atom_site_fract_x
_atom_site_fract_y
_atom_site_fract_z
_atom_site_occupancy
Ta1 Ta 0.115 0.115 0.000 1
Ta2 Ta 0.885 0.885 0.000 1
Sn1 Sn 0.500 0.500 0.000 1
B1 B 0.000 0.500 0.500 1
B2 B 0.302 0.302 0.000 1
B3 B 0.500 0.000 0.500 1
B4 B 0.698 0.698 0.000 1
# - DOS at the Fermi energy (states/eV per cell) = 3.1
# - E_form (eV/atom) = 1.537
# - SG = I4/mmm (139)
# - raw total energy (eV/atom) = -6.24

---

# PBE-GGA PaTlRhS3, optimized geometry
data_PaTlRhS3
_cell_length_a 7.613
_cell_length_b 7.613
_cell_length_c 10.223
_cell_angle_alpha 90.00
_cell_angle_beta 90.00
_cell_angle_gamma 151.55
_symmetry_space_group_name_H-M 'P 1'
_symmetry_Int_Tables_number 1
loop_
_symmetry_equiv_pos_as_xyz
'x,y,z'
loop_
_atom_site_label
_atom_site_type_symbol
_atom_site_fract_x
_atom_site_fract_y
_atom_site_fract_z
_atom_site_occupancy
Pa1 Pa 0.000 0.000 0.000 1
Pa2 Pa 0.000 0.000 0.500 1
Tl1 Tl 0.243 0.757 0.750 1
Tl2 Tl 0.757 0.243 0.250 1
Rh1 Rh 0.465 0.535 0.250 1
Rh2 Rh 0.535 0.465 0.750 1
S1 S 0.062 0.938 0.250 1
S2 S 0.372 0.628 0.051 1
S3 S 0.372 0.628 0.449 1
S4 S 0.628 0.372 0.551 1
S5 S 0.628 0.372 0.949 1
S6 S 0.938 0.062 0.750 1
# - DOS at the Fermi energy (states/eV per cell) = 2.6
# - SG = Cmcm (63)
# - raw total energy (eV/atom) = -6.34
# - ΔE_f (raw) (meV per atom) = -1072.3

---

# PBE-GGA AcTbPd4, optimized geometry
data_AcTbPd4
_cell_length_a 5.570
_cell_length_b 5.570
_cell_length_c 5.570
_cell_angle_alpha 60.00
_cell_angle_beta 60.00
_cell_angle_gamma 60.00
_symmetry_space_group_name_H-M 'P 1'
_symmetry_Int_Tables_number 1
loop_
_symmetry_equiv_pos_as_xyz
'x,y,z'
loop_
_atom_site_label
_atom_site_type_symbol
_atom_site_fract_x
_atom_site_fract_y
_atom_site_fract_z
_atom_site_occupancy
Ac1 Ac 0.000 0.000 0.000 1
Tb1 Tb 0.750 0.750 0.750 1
Pd1 Pd 0.375 0.375 0.375 1
Pd2 Pd 0.375 0.375 0.874 1
Pd3 Pd 0.375 0.874 0.375 1
Pd4 Pd 0.874 0.375 0.375 1
# - DOS at the Fermi energy (states/eV per cell) = 1.0
# - E_form (eV/atom) = -0.768
# - SG = F-43m (216)
# - raw total energy (eV/atom) = -5.69
# - ΔE to the lowest computed polymorph (meV/atom) = 61

---

# PBE-GGA Ag2HgSbBr6, optimized geometry
data_Ag2HgSbBr6
_cell_length_a 7.405
_cell_length_b 7.409
_cell_length_c 8.041
_cell_angle_alpha 62.68
_cell_angle_beta 62.68
_cell_angle_gamma 60.08
_symmetry_space_group_name_H-M 'P 1'
_symmetry_Int_Tables_number 1
loop_
_symmetry_equiv_pos_as_xyz
'x,y,z'
loop_
_atom_site_label
_atom_site_type_symbol
_atom_site_fract_x
_atom_site_fract_y
_atom_site_fract_z
_atom_site_occupancy
Ag1 Ag 0.000 0.000 0.000 1
Ag2 Ag 0.437 0.437 0.692 1
Hg1 Hg 0.755 0.755 0.738 1
Sb1 Sb 0.243 0.243 0.274 1
Br1 Br 0.031 0.632 0.992 1
Br2 Br 0.176 0.484 0.490 1
Br3 Br 0.344 0.032 0.992 1
Br4 Br 0.483 0.853 0.492 1
Br5 Br 0.633 0.345 0.991 1
Br6 Br 0.852 0.175 0.491 1
# - DOS at the Fermi energy (states/eV per cell) = 4.6
# - SG = P1 (1)
# - raw total energy (eV/atom) = -2.38
# - ΔE_f (raw) (meV per atom) = -361.5